Here is a relaxed structure of BiAs2OsW from the Alexandria database. Energies are from PBEsol.

```
BiAs2OsW
1.0
4.698 0.000 0.000
0.000 4.698 0.000
0.000 0.000 5.426
As Os Bi W
2 1 1 1
Direct
0.000 0.500 0.000 As
0.500 0.000 0.000 As
0.500 0.500 0.500 Os
0.000 0.000 0.500 Bi
0.000 0.000 0.000 W
```

Calculated values
space group = P4/mmm, No. 123
E_form = 37.294 kcal/mol of atoms

=====

Here is a relaxed structure of P2IrOsS from the Alexandria database. Energies are from PBEsol.

```
P2IrOsS
1.0
-0.928 4.024 1.751
0.361 -1.713 4.129
4.329 0.986 0.030
P S Ir Os
2 1 1 1
Direct
0.000 0.500 0.000 P
0.500 0.000 0.000 P
0.000 0.000 0.500 S
0.500 0.500 0.500 Ir
0.000 0.000 0.000 Os
```

Calculated values
space group = P4/mmm, No. 123
formation energy without anion corrections = 1.2383 eV/atom

=====

Here is a relaxed structure of Mg2GePd2 from the Alexandria database. Energies are from PBEsol.

```
Mg2GePd2
1.0
-1.748 -2.988 2.183
5.265 -3.672 -0.809
2.549 2.463 5.412
Ge Mg Pd
2 4 4
Direct
0.000 0.000 0.000 Ge
0.000 0.500 0.500 Ge
0.500 0.161 0.661 Mg
0.500 0.661 0.839 Mg
0.500 0.839 0.339 Mg
0.500 0.339 0.161 Mg
0.000 0.350 0.850 Pd
0.000 0.850 0.650 Pd
0.000 0.650 0.150 Pd
0.000 0.150 0.350 Pd
```

Calculated values
space group = P4/mbm, No. 127
E_form = -12.042 kcal/mol of atoms

=====

Here is a relaxed structure of MgIn2W from the Alexandria database. Energies are from PBEsol.

```
MgIn2W
1.0
3.545 0.000 0.000
0.000 3.545 0.000
0.000 0.000 6.071
In Mg W
2 1 1
Direct
0.000 0.000 0.739 In
0.000 0.000 0.261 In
0.500 0.500 0.000 Mg
0.500 0.500 0.500 W
```

Calculated values
space group = P4/mmm, No. 123
E_form = 9.491 kcal/mol of atoms

=====

Number 1: size of the total moment 2.103 μB/cell, electronic total energy -6.49 eV per atom. Number 2: size of the total moment 0.000 μB/cell, electronic total energy -6.36 eV per atom. Number 3: size of the total moment 0.000 μB/cell, electronic total energy -4.58 eV per atom. Number 4: size of the total moment 0.000 μB/cell, electronic total energy -4.96 eV per atom.